Material: Dy2Al12Pt7
Method: DFT, PBE
State: relaxed

As for the formation energy: -1.00 eV/atom. For the calculated total energy, the calculation gives -0.205 Ha/atom.

It has space group P-6 (No. 174), with a = 9.9500 Å, b = 9.9500 Å, c = 4.1581 Å, α = 90.00°, β = 90.00° and γ = 120.00°. The asymmetric unit holds Dy at (0.0000, 0.0000, 0.0000), Dy at (0.3333, 0.6667, 0.5000), Al at (0.0251, 0.7403, 0.5000), Al at (0.1384, 0.3872, 0.0000), Al at (0.3741, 0.1800, 0.0000), Al at (0.5345, 0.1190, 0.5000), Pt at (0.0368, 0.5802, 0.0000), Pt at (0.2424, 0.0152, 0.5000) and Pt at (0.6667, 0.3333, 0.0000).